[1]
Material: SbTeRh3
Method: DFT, PBE
State: optimized geometry

The space group is Pm-3m (No. 221) and the conventional cell measures 4.846, 4.846 and 4.846 Å, with angles of 90.00, 90.00 and 90.00 degrees. Symmetry generates all atoms from Sb at (0.000, 0.000, 0.000), Te at (0.500, 0.500, 0.500) and Rh at (0.000, 0.000, 0.500).

[2]
Material: SbTeRh
Method: DFT, PBE
State: optimized geometry

The space group is P2_1/c (No. 14) and the conventional cell measures 6.731, 6.482 and 6.706 Å, with angles of 90.00, 105.13 and 90.00 degrees. Symmetry generates all atoms from Sb at (0.135, 0.134, 0.363), Te at (0.355, 0.632, 0.645) and Rh at (0.247, 0.004, 0.751).

[3]
Material: Sb2TeRh
Method: DFT, PBE
State: optimized geometry

The space group is R-3m (No. 166, hexagonal axes) and the conventional cell measures 3.9780, 3.9780 and 21.5955 Å, with angles of 90.00, 90.00 and 120.00 degrees. Symmetry generates all atoms from Sb at (0.0000, 0.0000, 0.2328), Te at (0.0000, 0.0000, 0.0000) and Rh at (0.0000, 0.0000, 0.5000).

[4]
Material: Sb2TeRh
Method: DFT, PBE
State: optimized geometry

The space group is P4/mmm (No. 123) and the conventional cell measures 3.241, 3.241 and 9.431 Å, with angles of 90.00, 90.00 and 90.00 degrees. Symmetry generates all atoms from Sb at (0.000, 0.000, 0.175), Te at (0.500, 0.500, 0.500) and Rh at (0.500, 0.500, 0.000).

[5]
Material: Sb2TeRh
Method: DFT, PBE
State: optimized geometry

The space group is Amm2 (No. 38) and the conventional cell measures 3.964, 5.414 and 9.343 Å, with angles of 90.00, 90.00 and 90.00 degrees. Symmetry generates all atoms from Sb at (0.000, 0.000, 0.000), Sb at (0.500, 0.000, 0.307), Te at (0.500, 0.000, 0.688) and Rh at (0.000, 0.000, 0.495).

[6]
Material: Sb2TeRh2
Method: DFT, PBE
State: optimized geometry

The space group is P4/mbm (No. 127) and the conventional cell measures 7.832, 7.832 and 3.339 Å, with angles of 90.00, 90.00 and 90.00 degrees. Symmetry generates all atoms from Sb at (0.148, 0.352, 0.000), Te at (0.000, 0.000, 0.500) and Rh at (0.133, 0.633, 0.500).

[7]
Material: SbTe2Rh2
Method: DFT, PBE
State: optimized geometry

The space group is P4/mbm (No. 127) and the conventional cell measures 7.802, 7.802 and 3.424 Å, with angles of 90.00, 90.00 and 90.00 degrees. Symmetry generates all atoms from Sb at (0.000, 0.000, 0.000), Te at (0.152, 0.348, 0.500) and Rh at (0.129, 0.629, 0.000).

[8]
Material: SbTeRh4
Method: DFT, PBE
State: optimized geometry

The space group is F-43m (No. 216) and the conventional cell measures 7.505, 7.505 and 7.505 Å, with angles of 90.00, 90.00 and 90.00 degrees. Symmetry generates all atoms from Sb at (0.000, 0.000, 0.000), Te at (0.250, 0.250, 0.750) and Rh at (0.125, 0.125, 0.375).

[9]
Material: SbTe3Rh
Method: DFT, PBE
State: optimized geometry

The space group is Pm-3m (No. 221) and the conventional cell measures 5.217, 5.217 and 5.217 Å, with angles of 90.00, 90.00 and 90.00 degrees. Symmetry generates all atoms from Sb at (0.000, 0.000, 0.000), Te at (0.000, 0.500, 0.500) and Rh at (0.500, 0.500, 0.500).

[10]
Material: Sb2TeRh
Method: DFT, PBE
State: optimized geometry

The space group is I4/mmm (No. 139) and the conventional cell measures 5.837, 5.837 and 5.793 Å, with angles of 90.00, 90.00 and 90.00 degrees. Symmetry generates all atoms from Sb at (0.000, 0.500, 0.000), Te at (0.000, 0.000, 0.000) and Rh at (0.000, 0.000, 0.500).

[11]
Material: SbTe4Rh
Method: DFT, PBE
State: optimized geometry

The space group is P2/m (No. 10) and the conventional cell measures 5.521, 4.131 and 7.386 Å, with angles of 90.00, 91.75 and 90.00 degrees. Symmetry generates all atoms from Sb at (0.000, 0.000, 0.000), Te at (0.260, 0.000, 0.368), Te at (0.288, 0.500, 0.800) and Rh at (0.000, 0.500, 0.500).

[12]
Material: SbTe4Rh
Method: DFT, PBE
State: optimized geometry

The space group is F-43m (No. 216) and the conventional cell measures 8.785, 8.785 and 8.785 Å, with angles of 90.00, 90.00 and 90.00 degrees. Symmetry generates all atoms from Sb at (0.000, 0.000, 0.000), Te at (0.124, 0.124, 0.624) and Rh at (0.250, 0.250, 0.250).

[13]
Material: Sb2TeRh
Method: DFT, PBE
State: optimized geometry

The space group is Pmmm (No. 47) and the conventional cell measures 3.534, 5.025 and 5.165 Å, with angles of 90.00, 90.00 and 90.00 degrees. Symmetry generates all atoms from Sb at (0.000, 0.000, 0.000), Sb at (0.500, 0.500, 0.000), Te at (0.000, 0.500, 0.500) and Rh at (0.500, 0.000, 0.500).

[14]
Material: Sb2TeRh
Method: DFT, PBE
State: optimized geometry

The space group is F-43m (No. 216) and the conventional cell measures 7.163, 7.163 and 7.163 Å, with angles of 90.00, 90.00 and 90.00 degrees. Symmetry generates all atoms from Sb at (0.000, 0.000, 0.000), Sb at (0.250, 0.250, 0.250), Te at (0.000, 0.000, 0.500) and Rh at (0.250, 0.250, 0.750).

[15]
Material: Sb2TeRh
Method: DFT, PBE
State: optimized geometry

The space group is Immm (No. 71) and the conventional cell measures 3.257, 4.920 and 12.086 Å, with angles of 90.00, 90.00 and 90.00 degrees. Symmetry generates all atoms from Sb at (0.000, 0.000, 0.183), Te at (0.000, 0.500, 0.000) and Rh at (0.000, 0.500, 0.500).

[16]
Material: SbTeRh3
Method: DFT, PBE
State: optimized geometry

The space group is Pmc2_1 (No. 26) and the conventional cell measures 4.166, 7.632 and 6.217 Å, with angles of 90.00, 90.00 and 90.00 degrees. Symmetry generates all atoms from Sb at (0.000, 0.151, 0.000), Te at (0.500, 0.369, 0.452), Rh at (0.000, 0.182, 0.562), Rh at (0.500, 0.065, 0.253) and Rh at (0.500, 0.302, 0.854).

[17]
Material: Sb2TeRh
Method: DFT, PBE
State: optimized geometry

The space group is Cmmm (No. 65) and the conventional cell measures 5.378, 9.337 and 3.991 Å, with angles of 90.00, 90.00 and 90.00 degrees. Symmetry generates all atoms from Sb at (0.000, 0.188, 0.000), Te at (0.000, 0.500, 0.500) and Rh at (0.000, 0.000, 0.500).

[18]
Material: SbTeRh
Method: DFT, PBE
State: optimized geometry

The space group is P-1 (No. 2) and the conventional cell measures 5.214, 5.235 and 6.160 Å, with angles of 108.59, 106.78 and 98.51 degrees. Symmetry generates all atoms from Sb at (0.041, 0.415, 0.247), Te at (0.365, 0.190, 0.711) and Rh at (0.140, 0.933, 0.220).

[19]
Material: SbTeRh
Method: DFT, PBE
State: optimized geometry

The space group is I4mm (No. 107) and the conventional cell measures 3.248, 3.248 and 13.235 Å, with angles of 90.00, 90.00 and 90.00 degrees. Symmetry generates all atoms from Sb at (0.000, 0.000, 0.000), Te at (0.000, 0.000, 0.253) and Rh at (0.000, 0.000, 0.628).

[20]
Material: TiSbTe2Rh
Method: DFT, PBE
State: optimized geometry

The space group is P4/mmm (No. 123) and the conventional cell measures 5.242, 5.242 and 4.986 Å, with angles of 90.00, 90.00 and 90.00 degrees. Symmetry generates all atoms from Ti at (0.000, 0.000, 0.000), Sb at (0.500, 0.500, 0.000), Te at (0.000, 0.500, 0.500) and Rh at (0.500, 0.500, 0.500).

Total DFT energy (no corrections) for the records above, in order: -5.136; -5.373; -4.818; -4.808; -4.840; -5.363; -5.046; -5.880; -3.883; -4.587; -4.235; -3.109; -4.399; -4.394; -4.736; -6.202; -4.867; -5.053; -5.017; -4.632 eV per atom
Uncorrected formation energy for the records above, in order: 0.728; -0.502; -0.133; -0.124; -0.156; -0.145; -0.024; 0.232; 0.296; 0.098; -0.228; 0.898; 0.285; 0.290; -0.051; -0.339; -0.183; -0.181; -0.145; 0.499 eV per atom